Record 1
# RbCd3Pd (PBE, optimized geometry)
# * E_form: -0.0465 eV per atom
# * E above lowest polymorph: 147 meV per atom
# * SG: Cmcm, No. 63
# * D(E_F): 4.07 states/eV per cell
data_RbCd3Pd
_chemical_formula_sum 'Rb2 Cd6 Pd2'
_space_group_name_H-M_alt 'P 1'
_space_group_IT_number 1
_space_group_name_Hall 'P 1'
_cell_length_a 7.742
_cell_length_b 7.742
_cell_length_c 5.391
_cell_angle_alpha 90.00
_cell_angle_beta 90.00
_cell_angle_gamma 117.97
loop_
_atom_site_label
_atom_site_type_symbol
_atom_site_fract_x
_atom_site_fract_y
_atom_site_fract_z
_atom_site_occupancy
Rb1 Rb 0.073 0.927 0.750 1
Rb2 Rb 0.927 0.073 0.250 1
Cd1 Cd 0.080 0.575 0.250 1
Cd2 Cd 0.425 0.920 0.250 1
Cd3 Cd 0.500 0.500 0.000 1
Cd4 Cd 0.500 0.500 0.500 1
Cd5 Cd 0.575 0.080 0.750 1
Cd6 Cd 0.920 0.425 0.750 1
Pd1 Pd 0.318 0.682 0.750 1
Pd2 Pd 0.682 0.318 0.250 1

Record 2
# Mg2CdMo (PBE, optimized geometry)
# * E_form: 0.3380 eV per atom
# * SG: Imm2, No. 44
# * D(E_F): 2.57 states/eV per cell
data_Mg2CdMo
_chemical_formula_sum 'Mg2 Cd1 Mo1'
_space_group_name_H-M_alt 'P 1'
_space_group_IT_number 1
_space_group_name_Hall 'P 1'
_cell_length_a 5.812
_cell_length_b 5.812
_cell_length_c 5.812
_cell_angle_alpha 149.65
_cell_angle_beta 129.80
_cell_angle_gamma 59.79
loop_
_atom_site_label
_atom_site_type_symbol
_atom_site_fract_x
_atom_site_fract_y
_atom_site_fract_z
_atom_site_occupancy
Mg1 Mg 0.000 0.000 0.000 1
Mg2 Mg 0.737 0.237 0.500 1
Cd1 Cd 0.489 0.489 0.000 1
Mo1 Mo 0.242 0.742 0.500 1

Record 3
# FeCuPdPt (PBE, optimized geometry)
# * E_form: -0.1447 eV per atom
# * E above lowest polymorph: 42 meV per atom
# * SG: F-43m, No. 216
# * D(E_F): 3.24 states/eV per cell
data_FeCuPdPt
_chemical_formula_sum 'Fe1 Cu1 Pd1 Pt1'
_space_group_name_H-M_alt 'P 1'
_space_group_IT_number 1
_space_group_name_Hall 'P 1'
_cell_length_a 4.295
_cell_length_b 4.295
_cell_length_c 4.295
_cell_angle_alpha 60.00
_cell_angle_beta 60.00
_cell_angle_gamma 60.00
loop_
_atom_site_label
_atom_site_type_symbol
_atom_site_fract_x
_atom_site_fract_y
_atom_site_fract_z
_atom_site_occupancy
Fe1 Fe 0.000 0.000 0.000 1
Cu1 Cu 0.500 0.500 0.500 1
Pd1 Pd 0.750 0.750 0.750 1
Pt1 Pt 0.250 0.250 0.250 1

Record 4
# Ce5DyHg6 (PBE, optimized geometry)
# * E_form: -0.3218 eV per atom
# * SG: Immm, No. 71
# * D(E_F): 40.03 states/eV per cell
data_Ce5DyHg6
_chemical_formula_sum 'Ce5 Dy1 Hg6'
_space_group_name_H-M_alt 'P 1'
_space_group_IT_number 1
_space_group_name_Hall 'P 1'
_cell_length_a 9.240
_cell_length_b 9.240
_cell_length_c 9.240
_cell_angle_alpha 146.70
_cell_angle_beta 129.74
_cell_angle_gamma 61.64
loop_
_atom_site_label
_atom_site_type_symbol
_atom_site_fract_x
_atom_site_fract_y
_atom_site_fract_z
_atom_site_occupancy
Ce1 Ce 0.000 0.000 0.000 1
Ce2 Ce 0.158 0.658 0.500 1
Ce3 Ce 0.319 0.319 0.000 1
Ce4 Ce 0.681 0.681 0.000 1
Ce5 Ce 0.842 0.342 0.500 1
Dy1 Dy 0.500 0.000 0.500 1
Hg1 Hg 0.105 0.839 0.266 1
Hg2 Hg 0.278 0.500 0.778 1
Hg3 Hg 0.427 0.161 0.266 1
Hg4 Hg 0.573 0.839 0.734 1
Hg5 Hg 0.722 0.500 0.222 1
Hg6 Hg 0.895 0.161 0.734 1

Record 5
# Pm2HRh (PBE, optimized geometry)
# * E above lowest polymorph: 20 meV per atom
# * SG: P2_1/c, No. 14
# * D(E_F): 8.11 states/eV per cell
data_Pm2HRh
_chemical_formula_sum 'Pm8 H4 Rh4'
_space_group_name_H-M_alt 'P 1'
_space_group_IT_number 1
_space_group_name_Hall 'P 1'
_cell_length_a 6.642
_cell_length_b 7.355
_cell_length_c 6.930
_cell_angle_alpha 90.00
_cell_angle_beta 96.40
_cell_angle_gamma 90.00
loop_
_atom_site_label
_atom_site_type_symbol
_atom_site_fract_x
_atom_site_fract_y
_atom_site_fract_z
_atom_site_occupancy
Pm1 Pm 0.076 0.120 0.260 1
Pm2 Pm 0.076 0.380 0.760 1
Pm3 Pm 0.415 0.736 0.508 1
Pm4 Pm 0.415 0.764 0.008 1
Pm5 Pm 0.585 0.236 0.992 1
Pm6 Pm 0.585 0.264 0.492 1
Pm7 Pm 0.924 0.620 0.240 1
Pm8 Pm 0.924 0.880 0.740 1
H1 H 0.084 0.647 0.567 1
H2 H 0.084 0.853 0.067 1
H3 H 0.916 0.147 0.933 1
H4 H 0.916 0.353 0.433 1
Rh1 Rh 0.312 0.058 0.699 1
Rh2 Rh 0.312 0.442 0.199 1
Rh3 Rh 0.688 0.558 0.801 1
Rh4 Rh 0.688 0.942 0.301 1

Record 6
# LaCl (PBE, optimized geometry)
# * SG: P4/m, No. 83
# * energy relative to the elements, uncorrected: -1439 meV/atom
# * D(E_F): 8.25 states/eV per cell
data_LaCl
_chemical_formula_sum 'La8 Cl8'
_space_group_name_H-M_alt 'P 1'
_space_group_IT_number 1
_space_group_name_Hall 'P 1'
_cell_length_a 12.158
_cell_length_b 12.158
_cell_length_c 3.778
_cell_angle_alpha 90.00
_cell_angle_beta 90.00
_cell_angle_gamma 90.00
loop_
_atom_site_label
_atom_site_type_symbol
_atom_site_fract_x
_atom_site_fract_y
_atom_site_fract_z
_atom_site_occupancy
La1 La 0.097 0.194 0.000 1
La2 La 0.133 0.636 0.500 1
La3 La 0.194 0.903 0.000 1
La4 La 0.364 0.133 0.500 1
La5 La 0.636 0.867 0.500 1
La6 La 0.806 0.097 0.000 1
La7 La 0.867 0.364 0.500 1
La8 La 0.903 0.806 0.000 1
Cl1 Cl 0.098 0.393 0.500 1
Cl2 Cl 0.305 0.681 0.000 1
Cl3 Cl 0.319 0.305 0.000 1
Cl4 Cl 0.393 0.902 0.500 1
Cl5 Cl 0.607 0.098 0.500 1
Cl6 Cl 0.681 0.695 0.000 1
Cl7 Cl 0.695 0.319 0.000 1
Cl8 Cl 0.902 0.607 0.500 1

Record 7
# Nd3Dy4Y2 (PBE, optimized geometry)
# * E_form: 0.0983 eV per atom
# * E above lowest polymorph: 80 meV per atom
# * SG: C2/c, No. 15
# * D(E_F): 28.58 states/eV per cell
data_Nd3Dy4Y2
_chemical_formula_sum 'Nd6 Dy8 Y4'
_space_group_name_H-M_alt 'P 1'
_space_group_IT_number 1
_space_group_name_Hall 'P 1'
_cell_length_a 10.198
_cell_length_b 10.198
_cell_length_c 6.091
_cell_angle_alpha 96.13
_cell_angle_beta 96.13
_cell_angle_gamma 70.20
loop_
_atom_site_label
_atom_site_type_symbol
_atom_site_fract_x
_atom_site_fract_y
_atom_site_fract_z
_atom_site_occupancy
Nd1 Nd 0.110 0.890 0.750 1
Nd2 Nd 0.229 0.438 0.916 1
Nd3 Nd 0.438 0.229 0.416 1
Nd4 Nd 0.562 0.771 0.584 1
Nd5 Nd 0.771 0.562 0.084 1
Nd6 Nd 0.890 0.110 0.250 1
Dy1 Dy 0.081 0.354 0.350 1
Dy2 Dy 0.318 0.582 0.480 1
Dy3 Dy 0.354 0.081 0.850 1
Dy4 Dy 0.418 0.682 0.020 1
Dy5 Dy 0.582 0.318 0.980 1
Dy6 Dy 0.646 0.919 0.150 1
Dy7 Dy 0.682 0.418 0.520 1
Dy8 Dy 0.919 0.646 0.650 1
Y1 Y 0.012 0.753 0.189 1
Y2 Y 0.247 0.988 0.311 1
Y3 Y 0.753 0.012 0.689 1
Y4 Y 0.988 0.247 0.811 1

Record 8
# Pa4Bi8Pd3 (PBE, optimized geometry)
# * E_form: -0.3504 eV per atom
# * SG: P-4m2, No. 115
# * D(E_F): 14.91 states/eV per cell
data_Pa4Bi8Pd3
_chemical_formula_sum 'Pa4 Bi8 Pd3'
_space_group_name_H-M_alt 'P 1'
_space_group_IT_number 1
_space_group_name_Hall 'P 1'
_cell_length_a 4.598
_cell_length_b 4.598
_cell_length_c 18.737
_cell_angle_alpha 90.00
_cell_angle_beta 90.00
_cell_angle_gamma 90.00
loop_
_atom_site_label
_atom_site_type_symbol
_atom_site_fract_x
_atom_site_fract_y
_atom_site_fract_z
_atom_site_occupancy
Pa1 Pa 0.000 0.500 0.111 1
Pa2 Pa 0.000 0.500 0.615 1
Pa3 Pa 0.500 0.000 0.385 1
Pa4 Pa 0.500 0.000 0.889 1
Bi1 Bi 0.000 0.000 0.246 1
Bi2 Bi 0.000 0.000 0.754 1
Bi3 Bi 0.000 0.500 0.406 1
Bi4 Bi 0.000 0.500 0.916 1
Bi5 Bi 0.500 0.000 0.084 1
Bi6 Bi 0.500 0.000 0.594 1
Bi7 Bi 0.500 0.500 0.246 1
Bi8 Bi 0.500 0.500 0.754 1
Pd1 Pd 0.000 0.000 0.000 1
Pd2 Pd 0.000 0.000 0.500 1
Pd3 Pd 0.500 0.500 0.500 1

Record 9
# LaFe4Ru (PBE, optimized geometry)
# * E_form: 0.2199 eV per atom
# * SG: F-43m, No. 216
# * D(E_F): 5.46 states/eV per cell
data_LaFe4Ru
_chemical_formula_sum 'La1 Fe4 Ru1'
_space_group_name_H-M_alt 'P 1'
_space_group_IT_number 1
_space_group_name_Hall 'P 1'
_cell_length_a 5.064
_cell_length_b 5.064
_cell_length_c 5.064
_cell_angle_alpha 60.00
_cell_angle_beta 60.00
_cell_angle_gamma 60.00
loop_
_atom_site_label
_atom_site_type_symbol
_atom_site_fract_x
_atom_site_fract_y
_atom_site_fract_z
_atom_site_occupancy
La1 La 0.000 0.000 0.000 1
Fe1 Fe 0.376 0.376 0.376 1
Fe2 Fe 0.376 0.376 0.872 1
Fe3 Fe 0.376 0.872 0.376 1
Fe4 Fe 0.872 0.376 0.376 1
Ru1 Ru 0.750 0.750 0.750 1

Record 10
# Dy12Ag6Os (PBE, optimized geometry)
# * E_form: -0.1049 eV per atom
# * SG: R-3, No. 148
# * D(E_F): 16.48 states/eV per cell
data_Dy12Ag6Os
_chemical_formula_sum 'Dy12 Ag6 Os1'
_space_group_name_H-M_alt 'P 1'
_space_group_IT_number 1
_space_group_name_Hall 'P 1'
_cell_length_a 8.031
_cell_length_b 8.031
_cell_length_c 8.031
_cell_angle_alpha 92.18
_cell_angle_beta 92.18
_cell_angle_gamma 92.18
loop_
_atom_site_label
_atom_site_type_symbol
_atom_site_fract_x
_atom_site_fract_y
_atom_site_fract_z
_atom_site_occupancy
Dy1 Dy 0.046 0.945 0.699 1
Dy2 Dy 0.055 0.301 0.954 1
Dy3 Dy 0.177 0.391 0.523 1
Dy4 Dy 0.301 0.954 0.055 1
Dy5 Dy 0.391 0.523 0.177 1
Dy6 Dy 0.477 0.823 0.609 1
Dy7 Dy 0.523 0.177 0.391 1
Dy8 Dy 0.609 0.477 0.823 1
Dy9 Dy 0.699 0.046 0.945 1
Dy10 Dy 0.823 0.609 0.477 1
Dy11 Dy 0.945 0.699 0.046 1
Dy12 Dy 0.954 0.055 0.301 1
Ag1 Ag 0.178 0.764 0.372 1
Ag2 Ag 0.236 0.628 0.822 1
Ag3 Ag 0.372 0.178 0.764 1
Ag4 Ag 0.628 0.822 0.236 1
Ag5 Ag 0.764 0.372 0.178 1
Ag6 Ag 0.822 0.236 0.628 1
Os1 Os 0.500 0.500 0.500 1